Entry 1:
A geometry-optimized PaTi2Te4 structure. Source: Alexandria via LeMat-Bulk, functional PBE-GGA.

Geometry as POSCAR:
```
PaTi2Te4
1.0
7.778 -1.949 0.000
7.778 1.949 0.000
-3.242 0.000 6.378
Pa Ti Te
1 2 4
Direct
0.000 0.000 0.000
0.245 0.245 0.193
0.755 0.755 0.807
0.121 0.121 0.766
0.353 0.353 0.672
0.647 0.647 0.328
0.879 0.879 0.234
```

Calculated values
Spin magnetization ... 0.1145 μB/atom
E_form (uncorrected) ... -675 meV/atom

Entry 2:
A geometry-optimized CaPuC structure. Source: Alexandria via LeMat-Bulk, functional PBE-GGA.

Geometry as POSCAR:
```
CaPuC
1.0
3.558 0.000 0.000
-1.779 3.082 0.000
0.000 0.000 6.401
Ca Pu C
1 1 1
Direct
0.000 0.000 0.000
0.333 0.667 0.432
0.667 0.333 0.252
```

Calculated values
Distance to the lowest polymorph of the same formula ... 0.0000 eV/atom
Spin magnetization ... 1.6984 μB/atom
ΔE_f ... 11.0 kJ per mole of atoms

Entry 3:
A geometry-optimized InTcTe2 structure. Source: Alexandria via LeMat-Bulk, functional PBE-GGA.

Geometry as POSCAR:
```
InTcTe2
1.0
3.219 0.000 0.000
0.000 3.219 0.000
0.000 0.000 9.517
In Tc Te
1 1 2
Direct
0.000 0.000 0.000
0.500 0.500 0.194
0.000 0.000 0.353
0.500 0.500 0.713
```

Calculated values
Spin magnetization ... 0.0000 μB/atom
E_form (uncorrected) ... 78 meV/atom

Entry 4:
A geometry-optimized In4NiMo structure. Source: Alexandria via LeMat-Bulk, functional PBE-GGA.

Geometry as POSCAR:
```
In4NiMo
1.0
0.000 3.999 3.999
3.999 0.000 3.999
3.999 3.999 0.000
In Ni Mo
4 1 1
Direct
0.125 0.125 0.125
0.125 0.125 0.625
0.125 0.625 0.125
0.625 0.125 0.125
0.500 0.500 0.500
0.750 0.750 0.750
```

Calculated values
Spin magnetization ... 0.3297 μB/atom
ΔE_f ... 86.0 kJ per mole of atoms

Entry 5:
A geometry-optimized MnTcSe2 structure. Source: Alexandria via LeMat-Bulk, functional PBE-GGA.

Geometry as POSCAR:
```
MnTcSe2
1.0
4.291 -1.702 0.000
4.291 1.702 0.000
-1.001 0.000 6.218
Mn Tc Se
1 1 2
Direct
0.000 0.000 0.000
0.725 0.725 0.088
0.212 0.212 0.800
0.462 0.462 0.275
```

Calculated values
Distance to the lowest polymorph of the same formula ... 0.2722 eV/atom
Spin magnetization ... 0.4992 μB/atom
E_form (uncorrected) ... -29 meV/atom

Entry 6:
A geometry-optimized LaYTe structure. Source: Alexandria via LeMat-Bulk, functional PBE-GGA.

Geometry as POSCAR:
```
LaYTe
1.0
4.106 0.000 0.000
-2.053 3.556 0.000
0.000 0.000 7.135
La Y Te
1 1 1
Direct
0.000 0.000 0.000
0.333 0.667 0.588
0.667 0.333 0.309
```

Calculated values
Distance to the lowest polymorph of the same formula ... 0.0000 eV/atom
Spin magnetization ... 0.4746 μB/atom
E_form (uncorrected) ... -821 meV/atom

Entry 7:
A geometry-optimized Pu2MgPt2 structure. Source: Alexandria via LeMat-Bulk, functional PBE-GGA.

Geometry as POSCAR:
```
Pu2MgPt2
1.0
7.567 0.000 0.000
0.000 7.567 0.000
0.000 0.000 3.923
Pu Mg Pt
4 2 4
Direct
0.160 0.340 0.000
0.340 0.840 0.000
0.660 0.160 0.000
0.840 0.660 0.000
0.000 0.000 0.500
0.500 0.500 0.500
0.143 0.643 0.500
0.357 0.143 0.500
0.643 0.857 0.500
0.857 0.357 0.500
```

Calculated values
Spin magnetization ... 2.1943 μB/atom
ΔE_f ... -68.2 kJ per mole of atoms

Entry 8:
A geometry-optimized CaMo2H8 structure. Source: Alexandria via LeMat-Bulk, functional PBE-GGA.

Geometry as POSCAR:
```
CaMo2H8
1.0
-1.726 2.388 4.936
1.726 -2.388 4.936
1.726 2.388 -4.936
Ca Mo H
1 2 8
Direct
0.000 0.000 0.000
0.327 0.327 0.000
0.673 0.673 0.000
0.049 0.906 0.583
0.300 0.500 0.800
0.324 0.466 0.417
0.394 0.894 0.500
0.606 0.106 0.500
0.676 0.094 0.143
0.700 0.500 0.200
0.951 0.534 0.857
```

Calculated values
Spin magnetization ... 0.0000 μB/atom
Energy ... -50.5 eV/f.u.

Entry 9:
A geometry-optimized Fe3HI structure. Source: Alexandria via LeMat-Bulk, functional PBE-GGA.

Geometry as POSCAR:
```
Fe3HI
1.0
4.770 0.000 0.000
0.000 4.770 0.000
0.000 0.000 4.770
Fe H I
3 1 1
Direct
0.000 0.000 0.500
0.000 0.500 0.000
0.500 0.000 0.000
0.500 0.500 0.500
0.000 0.000 0.000
```

Calculated values
Distance to the lowest polymorph of the same formula ... 1.2012 eV/atom
Spin magnetization ... 1.6000 μB/atom

Entry 10:
A geometry-optimized LaCr2Ag2 structure. Source: Alexandria via LeMat-Bulk, functional PBE-GGA.

Geometry as POSCAR:
```
LaCr2Ag2
1.0
7.982 0.000 0.000
0.000 7.982 0.000
0.000 0.000 3.019
La Cr Ag
2 4 4
Direct
0.000 0.000 0.000
0.500 0.500 0.000
0.082 0.418 0.000
0.418 0.918 0.000
0.582 0.082 0.000
0.918 0.582 0.000
0.200 0.700 0.500
0.300 0.200 0.500
0.700 0.800 0.500
0.800 0.300 0.500
```

Calculated values
Distance to the lowest polymorph of the same formula ... 0.1223 eV/atom
Spin magnetization ... 0.1419 μB/atom
ΔE_f ... 46.3 kJ per mole of atoms

Entry 11:
A geometry-optimized Mg4MnPd15 structure. Source: Alexandria via LeMat-Bulk, functional PBE-GGA.

Geometry as POSCAR:
```
Mg4MnPd15
1.0
3.955 0.000 0.000
0.000 3.955 0.000
0.000 0.000 19.842
Mg Mn Pd
4 1 15
Direct
0.000 0.000 0.101
0.000 0.000 0.301
0.000 0.000 0.699
0.000 0.000 0.899
0.000 0.000 0.500
0.000 0.500 0.000
0.000 0.500 0.201
0.000 0.500 0.403
0.000 0.500 0.597
0.000 0.500 0.799
0.500 0.000 0.000
0.500 0.000 0.201
0.500 0.000 0.403
0.500 0.000 0.597
0.500 0.000 0.799
0.500 0.500 0.100
0.500 0.500 0.302
0.500 0.500 0.500
0.500 0.500 0.698
0.500 0.500 0.900
```

Calculated values
Spin magnetization ... 0.2122 μB/atom
ΔE_f ... -40.9 kJ per mole of atoms

Entry 12:
A geometry-optimized TmZr4Pa3N8 structure. Source: Alexandria via LeMat-Bulk, functional PBE-GGA.

Geometry as POSCAR:
```
TmZr4Pa3N8
1.0
3.371 1.946 5.502
-3.371 1.946 5.502
0.000 -3.893 5.502
Tm Zr Pa N
1 4 3 8
Direct
0.000 0.000 0.000
0.000 0.000 0.500
0.000 0.500 0.000
0.500 0.000 0.000
0.500 0.500 0.500
0.000 0.500 0.500
0.500 0.000 0.500
0.500 0.500 0.000
0.245 0.245 0.245
0.245 0.749 0.749
0.251 0.251 0.755
0.251 0.755 0.251
0.749 0.245 0.749
0.749 0.749 0.245
0.755 0.251 0.251
0.755 0.755 0.755
```

Calculated values
Spin magnetization ... 0.0000 μB/atom
E_form (uncorrected) ... -1695 meV/atom

Entry 13:
A geometry-optimized Li4ScHg structure. Source: Alexandria via LeMat-Bulk, functional PBE-GGA.

Geometry as POSCAR:
```
Li4ScHg
1.0
0.000 3.733 3.733
3.733 0.000 3.733
3.733 3.733 0.000
Li Sc Hg
4 1 1
Direct
0.376 0.376 0.376
0.376 0.376 0.871
0.376 0.871 0.376
0.871 0.376 0.376
0.000 0.000 0.000
0.750 0.750 0.750
```

Calculated values
Spin magnetization ... 0.0002 μB/atom
ΔE_f ... -6.6 kJ per mole of atoms

Entry 14:
A geometry-optimized ScGeIN2 structure. Source: Alexandria via LeMat-Bulk, functional PBE-GGA.

Geometry as POSCAR:
```
ScGeIN2
1.0
3.974 0.000 0.000
0.000 3.974 0.000
0.000 0.000 5.516
Sc Ge I N
1 1 1 2
Direct
0.000 0.000 0.000
0.500 0.500 0.500
0.500 0.500 0.000
0.000 0.500 0.500
0.500 0.000 0.500
```

Calculated values
Distance to the lowest polymorph of the same formula ... 0.1814 eV/atom
Spin magnetization ... 0.0006 μB/atom
E_form (uncorrected) ... 894 meV/atom

Entry 15:
A geometry-optimized TcSe structure. Source: Alexandria via LeMat-Bulk, functional PBE-GGA.

Geometry as POSCAR:
```
TcSe
1.0
4.871 -1.540 0.000
4.871 1.540 0.000
-2.385 0.000 6.551
Tc Se
3 3
Direct
0.000 0.000 0.000
0.043 0.043 0.586
0.364 0.364 0.234
0.380 0.380 0.684
0.625 0.625 0.331
0.722 0.722 0.945
```

Calculated values
Distance to the lowest polymorph of the same formula ... 0.3558 eV/atom
Spin magnetization ... 0.0000 μB/atom
E_form (uncorrected) ... 150 meV/atom

Entry 16:
A geometry-optimized NbPt2Cl structure. Source: Alexandria via LeMat-Bulk, functional PBE-GGA.

Geometry as POSCAR:
```
NbPt2Cl
1.0
0.000 3.261 3.261
3.261 0.000 3.261
3.261 3.261 0.000
Nb Pt Cl
1 2 1
Direct
0.000 0.000 0.000
0.250 0.250 0.250
0.750 0.750 0.750
0.500 0.500 0.500
```

Calculated values
Distance to the lowest polymorph of the same formula ... 0.0476 eV/atom
Spin magnetization ... 0.0000 μB/atom
E_form (uncorrected) ... 246 meV/atom

Entry 17:
A geometry-optimized NaBeSi2Sn structure. Source: Alexandria via LeMat-Bulk, functional PBE-GGA.

Geometry as POSCAR:
```
NaBeSi2Sn
1.0
5.162 0.000 0.000
0.000 5.162 0.000
0.000 0.000 5.651
Na Be Si Sn
1 1 2 1
Direct
0.000 0.000 0.000
0.500 0.500 0.000
0.000 0.500 0.500
0.500 0.000 0.500
0.000 0.000 0.500
```

Calculated values
Spin magnetization ... 0.0000 μB/atom
E_form (uncorrected) ... 1375 meV/atom

Entry 18:
A geometry-optimized Dy2ScCu6 structure. Source: Alexandria via LeMat-Bulk, functional PBE-GGA.

Geometry as POSCAR:
```
Dy2ScCu6
1.0
7.381 0.000 0.000
-3.690 6.392 0.000
0.000 0.000 3.320
Dy Sc Cu
2 1 6
Direct
0.333 0.667 0.000
0.667 0.333 0.000
0.000 0.000 0.000
0.000 0.330 0.500
0.000 0.670 0.500
0.330 0.000 0.500
0.330 0.330 0.500
0.670 0.000 0.500
0.670 0.670 0.500
```

Calculated values
Spin magnetization ... 0.0000 μB/atom
ΔE_f ... -21.3 kJ per mole of atoms

Entry 19:
A geometry-optimized Nd2GaCo structure. Source: Alexandria via LeMat-Bulk, functional PBE-GGA.

Geometry as POSCAR:
```
Nd2GaCo
1.0
3.565 0.000 0.000
0.000 3.565 0.000
0.000 0.000 7.343
Nd Ga Co
2 1 1
Direct
0.000 0.000 0.231
0.000 0.000 0.769
0.500 0.500 0.500
0.500 0.500 0.000
```

Calculated values
Spin magnetization ... 0.1685 μB/atom
ΔE_f ... -22.5 kJ per mole of atoms

Entry 20:
A geometry-optimized Ca2Sm2Dy structure. Source: Alexandria via LeMat-Bulk, functional PBE-GGA.

Geometry as POSCAR:
```
Ca2Sm2Dy
1.0
3.669 0.000 0.000
-1.834 3.177 0.000
0.000 0.000 15.435
Ca Sm Dy
2 2 1
Direct
0.333 0.667 0.108
0.667 0.333 0.892
0.333 0.667 0.684
0.667 0.333 0.316
0.000 0.000 0.500
```

Calculated values
Distance to the lowest polymorph of the same formula ... 0.0000 eV/atom
Spin magnetization ... 0.0000 μB/atom
ΔE_f ... 4.2 kJ per mole of atoms

Entry 21:
A geometry-optimized Si2BiSe structure. Source: Alexandria via LeMat-Bulk, functional PBE-GGA.

Geometry as POSCAR:
```
Si2BiSe
1.0
0.000 3.496 3.496
3.496 0.000 3.496
3.496 3.496 0.000
Si Bi Se
2 1 1
Direct
0.250 0.250 0.250
0.750 0.750 0.750
0.000 0.000 0.000
0.500 0.500 0.500
```

Calculated values
Distance to the lowest polymorph of the same formula ... 0.1279 eV/atom
Spin magnetization ... 0.0000 μB/atom
E_form (uncorrected) ... 584 meV/atom

Entry 22:
A geometry-optimized Dy5Sb2Pt structure. Source: Alexandria via LeMat-Bulk, functional PBE-GGA.

Geometry as POSCAR:
```
Dy5Sb2Pt
1.0
2.906 -4.737 0.000
2.906 4.737 0.000
0.000 0.000 16.089
Dy Sb Pt
10 4 2
Direct
0.071 0.929 0.595
0.071 0.929 0.905
0.240 0.760 0.250
0.410 0.590 0.624
0.410 0.590 0.876
0.590 0.410 0.124
0.590 0.410 0.376
0.760 0.240 0.750
0.929 0.071 0.095
0.929 0.071 0.405
0.272 0.728 0.061
0.272 0.728 0.439
0.728 0.272 0.561
0.728 0.272 0.939
0.192 0.808 0.750
0.808 0.192 0.250
```

Calculated values
Spin magnetization ... 0.0000 μB/atom
E_form (uncorrected) ... -632 meV/atom

Entry 23:
A geometry-optimized RuIOF2 structure. Source: Alexandria via LeMat-Bulk, functional PBE-GGA.

Geometry as POSCAR:
```
RuIOF2
1.0
4.569 0.000 0.000
0.000 4.569 0.000
0.000 0.000 3.666
Ru I O F
1 1 1 2
Direct
0.000 0.000 0.000
0.500 0.500 0.500
0.000 0.000 0.500
0.000 0.500 0.000
0.500 0.000 0.000
```

Calculated values
Distance to the lowest polymorph of the same formula ... 0.0000 eV/atom
Spin magnetization ... 0.0000 μB/atom
E_form (uncorrected) ... -548 meV/atom

Entry 24:
A geometry-optimized TeAs2PdSe structure. Source: Alexandria via LeMat-Bulk, functional PBE-GGA.

Geometry as POSCAR:
```
TeAs2PdSe
1.0
4.898 0.000 0.000
0.000 4.898 0.000
0.000 0.000 4.995
Te As Pd Se
1 2 1 1
Direct
0.000 0.000 0.000
0.000 0.500 0.500
0.500 0.000 0.500
0.500 0.500 0.500
0.500 0.500 0.000
```

Calculated values
Distance to the lowest polymorph of the same formula ... 0.0000 eV/atom
Spin magnetization ... 0.0004 μB/atom
E_form (uncorrected) ... 467 meV/atom

Entry 25:
A geometry-optimized MnCu2Pt structure. Source: Alexandria via LeMat-Bulk, functional PBE-GGA.

Geometry as POSCAR:
```
MnCu2Pt
1.0
1.404 -2.248 0.000
1.404 2.248 0.000
0.000 0.000 8.695
Mn Cu Pt
1 2 1
Direct
0.000 0.000 0.000
0.500 0.500 0.241
0.500 0.500 0.759
0.000 0.000 0.500
```

Calculated values
Spin magnetization ... 0.8759 μB/atom
ΔE_f ... 9.3 kJ per mole of atoms